(1)
Below is crystalline ZnNiBr2 at its relaxed geometry, with properties calculated at the PBE-GGA level.

Calculated values
Total magnetic moment   0.1 μB per cell
Formation energy (no corrections)   -0.309 eV per formula unit
Total energy   -2.677 eV per atom

a = 4.0193 Å, b = 4.0193 Å, c = 8.9148 Å
α = 90.00°, β = 90.00°, γ = 129.94°
Each line ends with the local moment (μB).
Element x y z (fractional)
1 Br 0.0000 0.0000 0.9196  0.00
2 Ni 0.0000 0.0000 0.5152  0.09
3 Zn 0.5000 0.5000 0.7206  0.00
4 Br 0.5000 0.5000 0.3446  0.00



(2)
Below is crystalline Ti5Ga2O at its relaxed geometry, with properties calculated at the PBE-GGA level.

Calculated values
Total magnetic moment   0.0 μB per cell
Formation energy (no corrections)   -3.543 eV per formula unit
Total energy   -6.754 eV per atom

a = 3.8993 Å, b = 7.4033 Å, c = 10.2473 Å
α = 90.00°, β = 90.00°, γ = 105.27°
Element x y z (fractional)
1 Ga 0.9242 0.8484 0.1345
2 Ga 0.9242 0.8484 0.3655
3 Ti 0.7257 0.4514 0.2500
4 Ti 0.6995 0.3989 0.9339
5 Ti 0.2743 0.5486 0.7500
6 Ti 0.3005 0.6011 0.0661
7 O 0.7775 0.5549 0.7500
8 Ti 0.8913 0.7825 0.8856
9 Ga 0.0758 0.1516 0.6345
10 Ti 0.3005 0.6011 0.4339
11 Ti 0.1087 0.2175 0.3856
12 Ti 0.1087 0.2175 0.1144
13 O 0.2225 0.4451 0.2500
14 Ti 0.8913 0.7825 0.6144
15 Ga 0.0758 0.1516 0.8655
16 Ti 0.6995 0.3989 0.5661



(3)
Below is crystalline LiGe2S at its relaxed geometry, with properties calculated at the PBE-GGA level.

Calculated values
Total magnetic moment   0.0 μB per cell
Formation energy (no corrections)   -0.236 eV per formula unit
Total energy   -3.878 eV per atom

a = 8.6136 Å, b = 8.6136 Å, c = 6.5140 Å
α = 48.61°, β = 48.61°, γ = 90.00°
Element x y z (fractional)
1 Ge 0.3750 0.2976 0.7500
2 Li 0.5000 0.5000 0.0000
3 Li 0.2500 0.7500 0.5000
4 Ge 0.8750 0.9524 0.7500
5 S 0.7500 0.2500 0.5000
6 Ge 0.7024 0.1250 0.2500
7 Ge 0.0476 0.6250 0.2500
8 S 0.0000 0.0000 0.0000